Record 1
Zr3ReCl: optimized geometry, GGA-PBE.

a = 5.145 Å, b = 5.145 Å, c = 5.145 Å
α = 90.00°, β = 90.00°, γ = 90.00°
Element x y z (fractional)
1 Zr 0.000 0.000 0.500
2 Zr 0.000 0.500 0.000
3 Zr 0.500 0.000 0.000
4 Re 0.000 0.000 0.000
5 Cl 0.500 0.500 0.500

Values from the calculation:
Density of states at the Fermi level: 0.061 states/eV/atom
SG: Pm-3m (221)
Formation energy without anion corrections: 2.71 eV/f.u.
Energy relative to the lowest polymorph listed for this composition: 163 meV/atom
Theoretical density: 6.04 g cm⁻³
Total moment: 0.0 μB/f.u.

=====

Record 2
ZrRe3Cl: optimized geometry, GGA-PBE.

a = 4.404 Å, b = 4.404 Å, c = 4.404 Å
α = 90.00°, β = 90.00°, γ = 90.00°
Element x y z (fractional)
1 Zr 0.000 0.000 0.000
2 Re 0.000 0.500 0.500
3 Re 0.500 0.000 0.500
4 Re 0.500 0.500 0.000
5 Cl 0.500 0.500 0.500

Values from the calculation:
Density of states at the Fermi level: 0.875 states/eV/atom
SG: Pm-3m (221)
Formation energy without anion corrections: 5.98 eV/f.u.
Energy relative to the lowest polymorph listed for this composition: 0 meV/atom
Theoretical density: 13.33 g cm⁻³
Total moment: 0.0 μB/f.u.

=====

Record 3
ZrRe3Cl: optimized geometry, GGA-PBE.

a = 4.978 Å, b = 4.978 Å, c = 4.978 Å
α = 90.00°, β = 90.00°, γ = 90.00°
Element x y z (fractional)
1 Zr 0.000 0.000 0.000
2 Re 0.000 0.000 0.500
3 Re 0.000 0.500 0.000
4 Re 0.500 0.000 0.000
5 Cl 0.500 0.500 0.500

Values from the calculation:
Density of states at the Fermi level: 1.129 states/eV/atom
SG: Pm-3m (221)
Formation energy without anion corrections: 14.70 eV/f.u.
Energy relative to the lowest polymorph listed for this composition: 1744 meV/atom
Theoretical density: 9.22 g cm⁻³
Total moment: 5.8 μB/f.u.